VASP calculation (GGA+U) on a relaxed structure of HoNi3C4O12.

The structure belongs to space group R32 (No. 155, hexagonal axes); the cell edges are 9.5366, 9.5366 and 7.9151 Å and the angles 90.00°, 90.00° and 120.00°. The distinct sites, in fractional coordinates, are Ho at (0.0000, 0.0000, 0.0000), Ni at (0.0000, 0.5409, 0.0000), C at (0.0000, 0.0000, 0.5000), C at (0.0000, 0.4582, 0.5000), O at (0.0000, 0.5934, 0.5000), O at (0.0000, 0.8640, 0.5000) and O at (0.0105, 0.2055, 0.1698).

The calculated volume is 623.4 Å³ per cell. As for the crystal system: trigonal. As for the total energy: -6.928 eV per atom. The calculation puts the size of the total moment at 15.000 μB per cell.